Computed, not measured: a relaxed GeMoP2S crystal at the PBE-GGA level of DFT.

Cell lengths 4.6995, 4.6995, 4.7370 Å; angles 90.00, 90.00, 90.00 degrees
Atoms (fractional coordinates):
1 Ge 0.0000 0.0000 0.0000
2 Mo 0.5000 0.5000 0.5000
3 P 0.0000 0.5000 0.5000
4 P 0.5000 0.0000 0.5000
5 S 0.5000 0.5000 0.0000

Properties
Uncorrected formation energy in eV/atom: 0.51
SG: P4/mmm, No. 123
Offset from the most stable computed form in meV per atom: 0

***

Computed, not measured: a relaxed TcGeMoP2 crystal at the PBE-GGA level of DFT.

Cell lengths 4.5797, 4.5797, 4.9858 Å; angles 90.00, 90.00, 90.00 degrees
Atoms (fractional coordinates):
1 Tc 0.0000 0.0000 0.0000
2 Ge 0.5000 0.5000 0.0000
3 Mo 0.0000 0.0000 0.5000
4 P 0.0000 0.5000 0.5000
5 P 0.5000 0.0000 0.5000

Properties
SG: P4/mmm, No. 123
DFT formation energy in eV/f.u.: 4.95

***

Computed, not measured: a relaxed Pa8Ge2Mo crystal at the PBE-GGA level of DFT.

Cell lengths 7.8616, 7.8616, 7.5138 Å; angles 114.70, 114.70, 37.50 degrees
Atoms (fractional coordinates):
1 Pa 0.0087 0.0087 0.2771
2 Pa 0.1848 0.1848 0.7502
3 Pa 0.3270 0.3270 0.5901
4 Pa 0.4213 0.4213 0.0768
5 Pa 0.5787 0.5787 0.9232
6 Pa 0.6730 0.6730 0.4099
7 Pa 0.8152 0.8152 0.2498
8 Pa 0.9913 0.9913 0.7229
9 Ge 0.1804 0.1804 0.1501
10 Ge 0.8196 0.8196 0.8499
11 Mo 0.5000 0.5000 0.5000

Properties
SG: C2/m, No. 12
DFT formation energy in eV/f.u.: -0.74

***

Computed, not measured: a relaxed Pa4Ge6Mo7 crystal at the PBE-GGA level of DFT.

Cell lengths 7.4183, 7.4183, 7.4183 Å; angles 109.47, 109.47, 109.47 degrees
Atoms (fractional coordinates):
1 Pa 0.0000 0.0000 0.5000
2 Pa 0.0000 0.5000 0.0000
3 Pa 0.5000 0.0000 0.0000
4 Pa 0.5000 0.5000 0.5000
5 Ge 0.0000 0.3068 0.3068
6 Ge 0.0000 0.6932 0.6932
7 Ge 0.3068 0.0000 0.3068
8 Ge 0.3068 0.3068 0.0000
9 Ge 0.6932 0.0000 0.6932
10 Ge 0.6932 0.6932 0.0000
11 Mo 0.0000 0.0000 0.0000
12 Mo 0.2500 0.5000 0.7500
13 Mo 0.2500 0.7500 0.5000
14 Mo 0.5000 0.2500 0.7500
15 Mo 0.5000 0.7500 0.2500
16 Mo 0.7500 0.2500 0.5000
17 Mo 0.7500 0.5000 0.2500

Properties
SG: Im-3m, No. 229
DFT formation energy in eV/f.u.: -5.25

***

Computed, not measured: a relaxed PaGe2Mo4 crystal at the PBE-GGA level of DFT.

Cell lengths 4.4777, 15.9304, 3.4457 Å; angles 90.00, 90.00, 90.00 degrees
Atoms (fractional coordinates):
1 Pa 0.0000 0.0000 0.0000
2 Pa 0.5000 0.5000 0.0000
3 Ge 0.0000 0.4220 0.5000
4 Ge 0.0000 0.5780 0.5000
5 Ge 0.5000 0.0780 0.5000
6 Ge 0.5000 0.9220 0.5000
7 Mo 0.0000 0.1705 0.5000
8 Mo 0.0000 0.3034 0.0000
9 Mo 0.0000 0.6966 0.0000
10 Mo 0.0000 0.8295 0.5000
11 Mo 0.5000 0.1966 0.0000
12 Mo 0.5000 0.3295 0.5000
13 Mo 0.5000 0.6705 0.5000
14 Mo 0.5000 0.8034 0.0000

Properties
SG: Cmmm, No. 65
DFT formation energy in eV/f.u.: -0.90

***

Computed, not measured: a relaxed Pa3Ge2Mo crystal at the PBE-GGA level of DFT.

Cell lengths 8.4723, 8.4723, 8.4723 Å; angles 139.38, 59.56, 138.38 degrees
Atoms (fractional coordinates):
1 Pa 0.1648 0.2156 0.3804
2 Pa 0.2500 0.2500 0.0000
3 Pa 0.3352 0.7156 0.0508
4 Pa 0.6648 0.2844 0.9492
5 Pa 0.7500 0.7500 0.0000
6 Pa 0.8352 0.7844 0.6196
7 Ge 0.1354 0.7067 0.8421
8 Ge 0.3646 0.2067 0.5713
9 Ge 0.6354 0.7933 0.4287
10 Ge 0.8646 0.2933 0.1579
11 Mo 0.2500 0.7500 0.5000
12 Mo 0.7500 0.2500 0.5000

Properties
SG: Ibam, No. 72
DFT formation energy in eV/f.u.: -1.31

***

no.,calculated density (g cm⁻³)
1,4.168
2,5.217
3,13.676
4,10.735
5,10.270
6,11.919